(1)
The following is a DFT calculation (GGA-PBE) of a geometry-optimized Tb4DyEr2Tm2 structure.

The structure in POSCAR format:
```
Tb4DyEr2Tm2
1.0
8.497 -1.774 0.000
8.497 1.774 0.000
-1.868 0.000 9.319
Tb Dy Er Tm
4 1 2 2
direct
0.016 0.016 0.326 Tb
0.321 0.321 0.756 Tb
0.679 0.679 0.244 Tb
0.984 0.984 0.674 Tb
0.500 0.500 0.000 Dy
0.348 0.348 0.406 Er
0.652 0.652 0.594 Er
0.164 0.164 0.923 Tm
0.836 0.836 0.077 Tm
```

Properties
E_form = 0.03 eV per atom
N(E_F) = 11.46 states/eV per cell
raw total energy = -4.550 eV per atom
space-group type = No. 12

---

(2)
The following is a DFT calculation (GGA-PBE) of a geometry-optimized Tb5Dy2ErTm structure.

The structure in POSCAR format:
```
Tb5Dy2ErTm
1.0
2.779 -9.902 0.000
2.779 9.902 0.000
0.000 0.000 10.522
Tb Dy Er Tm
10 4 2 2
direct
0.018 0.982 0.500 Tb
0.281 0.719 0.790 Tb
0.300 0.700 0.187 Tb
0.386 0.614 0.501 Tb
0.481 0.519 0.220 Tb
0.519 0.481 0.720 Tb
0.614 0.386 0.001 Tb
0.700 0.300 0.687 Tb
0.719 0.281 0.290 Tb
0.982 0.018 0.000 Tb
0.111 0.889 0.216 Dy
0.114 0.886 0.795 Dy
0.886 0.114 0.295 Dy
0.889 0.111 0.716 Dy
0.411 0.589 0.938 Er
0.589 0.411 0.438 Er
0.199 0.801 0.490 Tm
0.801 0.199 0.990 Tm
```

Properties
E_form = 0.15 eV per atom
N(E_F) = 28.59 states/eV per cell
raw total energy = -4.448 eV per atom
space-group type = No. 36

---

(3)
The following is a DFT calculation (GGA-PBE) of a geometry-optimized TbDy2ErTm6 structure.

The structure in POSCAR format:
```
TbDy2ErTm6
1.0
4.455 -7.413 0.000
4.455 7.413 0.000
-1.276 0.000 9.339
Tb Dy Er Tm
2 4 2 12
direct
0.023 0.977 0.750 Tb
0.977 0.023 0.250 Tb
0.196 0.302 0.545 Dy
0.302 0.196 0.045 Dy
0.698 0.804 0.955 Dy
0.804 0.698 0.455 Dy
0.409 0.591 0.250 Er
0.591 0.409 0.750 Er
0.020 0.571 0.685 Tm
0.126 0.749 0.057 Tm
0.251 0.874 0.443 Tm
0.290 0.504 0.881 Tm
0.429 0.980 0.815 Tm
0.496 0.710 0.619 Tm
0.504 0.290 0.381 Tm
0.571 0.020 0.185 Tm
0.710 0.496 0.119 Tm
0.749 0.126 0.557 Tm
0.874 0.251 0.943 Tm
0.980 0.429 0.315 Tm
```

Properties
E_form = 0.12 eV per atom
N(E_F) = 27.37 states/eV per cell
raw total energy = -4.401 eV per atom
space-group type = No. 15

---

Q: Number 3 is which compound?
A: TbDy2ErTm6

---

Q: Look up the E_form of the second one.
A: 0.15 eV per atom

---

Q: Number 2 is which compound?
A: Tb5Dy2ErTm